a:
## Pm2Dy3Ho6 (PBE-GGA)

Data for crystalline Pm2Dy3Ho6 at its relaxed geometry.

Calculated values
Calculated density ... 7.96 Mg/m³

Cell and atoms, written as CIF:
```
data_Pm2Dy3Ho6
_chemical_formula_sum 'Pm4 Dy6 Ho12'
_cell_length_a 4.7180
_cell_length_b 4.7180
_cell_length_c 33.1196
_cell_angle_alpha 90.00
_cell_angle_beta 90.00
_cell_angle_gamma 90.00
_symmetry_space_group_name_H-M 'I 4/m m m'
_symmetry_Int_Tables_number 139
_symmetry_space_group_name_Hall '-I 4 2'
loop_
_atom_site_label
_atom_site_type_symbol
_atom_site_fract_x
_atom_site_fract_y
_atom_site_fract_z
Pm1 Pm 0.0000 0.0000 0.0461
Dy1 Dy 0.0000 0.0000 0.2988
Dy2 Dy 0.0000 0.0000 0.5000
Ho1 Ho 0.0000 0.0000 0.1956
Ho2 Ho 0.0000 0.5000 0.1219
```



b:
## Pm2Dy3Ho6 (PBE-GGA)

Data for crystalline Pm2Dy3Ho6 at its relaxed geometry.

Calculated values
Calculated density ... 7.94 Mg/m³

Cell and atoms, written as CIF:
```
data_Pm2Dy3Ho6
_chemical_formula_sum 'Pm4 Dy6 Ho12'
_cell_length_a 6.0932
_cell_length_b 10.5703
_cell_length_c 11.6541
_cell_angle_alpha 90.00
_cell_angle_beta 100.15
_cell_angle_gamma 90.00
_symmetry_space_group_name_H-M 'C 1 2/m 1'
_symmetry_Int_Tables_number 12
_symmetry_space_group_name_Hall '-C 2y'
loop_
_atom_site_label
_atom_site_type_symbol
_atom_site_fract_x
_atom_site_fract_y
_atom_site_fract_z
Pm1 Pm 0.0000 0.1666 0.0000
Dy1 Dy 0.0000 0.0000 0.5000
Dy2 Dy 0.0000 0.3350 0.5000
Ho1 Ho 0.2492 0.1668 0.7477
Ho2 Ho 0.2504 0.0000 0.2522
```



Which of them is the most stable, and which is the least stable? b and a, in that order.



a:
## PmDy6Ho12 (PBE-GGA)

Data for crystalline PmDy6Ho12 at its relaxed geometry.

Calculated values
Calculated density ... 8.68 Mg/m³

Cell and atoms, written as CIF:
```
data_PmDy6Ho12
_chemical_formula_sum 'Pm3 Dy18 Ho36'
_cell_length_a 15.3994
_cell_length_b 15.3994
_cell_length_c 8.6614
_cell_angle_alpha 90.00
_cell_angle_beta 90.00
_cell_angle_gamma 120.00
_symmetry_space_group_name_H-M 'R -3'
_symmetry_Int_Tables_number 148
_symmetry_space_group_name_Hall '-R 3'
loop_
_atom_site_label
_atom_site_type_symbol
_atom_site_fract_x
_atom_site_fract_y
_atom_site_fract_z
Pm1 Pm 0.0000 0.0000 0.0000
Dy1 Dy 0.0352 0.7547 0.3333
Ho1 Ho 0.0175 0.8768 0.6660
Ho2 Ho 0.0697 0.5086 0.6669
```



b:
## PmDy6Ho12 (PBE-GGA)

Data for crystalline PmDy6Ho12 at its relaxed geometry.

Calculated values
Calculated density ... 8.42 Mg/m³

Cell and atoms, written as CIF:
```
data_PmDy6Ho12
_chemical_formula_sum 'Pm3 Dy18 Ho36'
_cell_length_a 11.8389
_cell_length_b 11.8389
_cell_length_c 15.1023
_cell_angle_alpha 90.00
_cell_angle_beta 90.00
_cell_angle_gamma 120.00
_symmetry_space_group_name_H-M 'R -3'
_symmetry_Int_Tables_number 148
_symmetry_space_group_name_Hall '-R 3'
loop_
_atom_site_label
_atom_site_type_symbol
_atom_site_fract_x
_atom_site_fract_y
_atom_site_fract_z
Pm1 Pm 0.0000 0.0000 0.0000
Dy1 Dy 0.0086 0.4218 0.6782
Ho1 Ho 0.0192 0.8369 0.1917
Ho2 Ho 0.0404 0.8517 0.4157
```



Which of them is the most stable, and which is the least stable? a and b, in that order.



a:
## Pm5Dy2Ho4 (PBE-GGA)

Data for crystalline Pm5Dy2Ho4 at its relaxed geometry.

Calculated values
Calculated density ... 7.86 Mg/m³

Cell and atoms, written as CIF:
```
data_Pm5Dy2Ho4
_chemical_formula_sum 'Pm10 Dy4 Ho8'
_cell_length_a 17.6229
_cell_length_b 3.5439
_cell_length_c 11.6012
_cell_angle_alpha 90.00
_cell_angle_beta 94.03
_cell_angle_gamma 90.00
_symmetry_space_group_name_H-M 'C 1 2/m 1'
_symmetry_Int_Tables_number 12
_symmetry_space_group_name_Hall '-C 2y'
loop_
_atom_site_label
_atom_site_type_symbol
_atom_site_fract_x
_atom_site_fract_y
_atom_site_fract_z
Pm1 Pm 0.0000 0.0000 0.0000
Pm2 Pm 0.0964 0.5000 0.5353
Pm3 Pm 0.1766 0.5000 0.0698
Dy1 Dy 0.2158 0.0000 0.3520
Ho1 Ho 0.0352 0.5000 0.2595
Ho2 Ho 0.1405 0.0000 0.7951
```



b:
## Pm5Dy2Ho4 (PBE-GGA)

Data for crystalline Pm5Dy2Ho4 at its relaxed geometry.

Calculated values
Calculated density ... 7.56 Mg/m³

Cell and atoms, written as CIF:
```
data_Pm5Dy2Ho4
_chemical_formula_sum 'Pm10 Dy4 Ho8'
_cell_length_a 3.5165
_cell_length_b 9.1062
_cell_length_c 23.4546
_cell_angle_alpha 90.00
_cell_angle_beta 90.00
_cell_angle_gamma 90.00
_symmetry_space_group_name_H-M 'I m m m'
_symmetry_Int_Tables_number 71
_symmetry_space_group_name_Hall '-I 2 2'
loop_
_atom_site_label
_atom_site_type_symbol
_atom_site_fract_x
_atom_site_fract_y
_atom_site_fract_z
Pm1 Pm 0.0000 0.0000 0.0000
Pm2 Pm 0.0000 0.2994 0.3539
Dy1 Dy 0.0000 0.5000 0.2306
Ho1 Ho 0.0000 0.1877 0.5000
Ho2 Ho 0.0000 0.5000 0.0967
```



Which of them is the most stable, and which is the least stable? a and b, in that order.



a:
## Pm2Dy2Ho5 (PBE-GGA)

Data for crystalline Pm2Dy2Ho5 at its relaxed geometry.

Calculated values
Calculated density ... 8.14 Mg/m³

Cell and atoms, written as CIF:
```
data_Pm2Dy2Ho5
_chemical_formula_sum 'Pm8 Dy8 Ho20'
_cell_length_a 14.8925
_cell_length_b 11.7390
_cell_length_c 6.7195
_cell_angle_alpha 90.00
_cell_angle_beta 90.00
_cell_angle_gamma 90.00
_symmetry_space_group_name_H-M 'I m a 2'
_symmetry_Int_Tables_number 46
_symmetry_space_group_name_Hall 'I 2 -2a'
loop_
_atom_site_label
_atom_site_type_symbol
_atom_site_fract_x
_atom_site_fract_y
_atom_site_fract_z
Pm1 Pm 0.1271 0.0030 0.0000
Dy1 Dy 0.0000 0.0000 0.5441
Dy2 Dy 0.2500 0.5120 0.9501
Ho1 Ho 0.0526 0.2456 0.3504
Ho2 Ho 0.1429 0.7362 0.1713
Ho3 Ho 0.2500 0.2479 0.1503
```



b:
## Pm2Dy2Ho5 (PBE-GGA)

Data for crystalline Pm2Dy2Ho5 at its relaxed geometry.

Calculated values
Calculated density ... 8.33 Mg/m³

Cell and atoms, written as CIF:
```
data_Pm2Dy2Ho5
_chemical_formula_sum 'Pm2 Dy2 Ho5'
_cell_length_a 3.5931
_cell_length_b 8.8332
_cell_length_c 9.4683
_cell_angle_alpha 76.74
_cell_angle_beta 79.13
_cell_angle_gamma 90.00
_symmetry_space_group_name_H-M 'P -1'
_symmetry_Int_Tables_number 2
_symmetry_space_group_name_Hall '-P 1'
loop_
_atom_site_label
_atom_site_type_symbol
_atom_site_fract_x
_atom_site_fract_y
_atom_site_fract_z
Pm1 Pm 0.0925 0.3342 0.3145
Dy1 Dy 0.1664 0.9997 0.1663
Ho1 Ho 0.2412 0.6676 0.0189
Ho2 Ho 0.4241 0.3314 0.6504
Ho3 Ho 0.5000 0.0000 0.5000
```



Which of them is the most stable, and which is the least stable? b and a, in that order.



a:
## Pm2Dy7Ho3 (PBE-GGA)

Data for crystalline Pm2Dy7Ho3 at its relaxed geometry.

Calculated values
Calculated density ... 7.81 Mg/m³

Cell and atoms, written as CIF:
```
data_Pm2Dy7Ho3
_chemical_formula_sum 'Pm2 Dy7 Ho3'
_cell_length_a 6.1289
_cell_length_b 5.4743
_cell_length_c 12.1777
_cell_angle_alpha 90.00
_cell_angle_beta 91.39
_cell_angle_gamma 90.00
_symmetry_space_group_name_H-M 'P 1 2/m 1'
_symmetry_Int_Tables_number 10
_symmetry_space_group_name_Hall '-P 2y'
loop_
_atom_site_label
_atom_site_type_symbol
_atom_site_fract_x
_atom_site_fract_y
_atom_site_fract_z
Pm1 Pm 0.0963 0.0000 0.2797
Dy1 Dy 0.0608 0.5000 0.8233
Dy2 Dy 0.2652 0.0000 0.5457
Dy3 Dy 0.4197 0.0000 0.8319
Dy4 Dy 0.5000 0.5000 0.0000
Ho1 Ho 0.0000 0.0000 0.0000
Ho2 Ho 0.4463 0.5000 0.3421
```



b:
## Pm2Dy7Ho3 (PBE-GGA)

Data for crystalline Pm2Dy7Ho3 at its relaxed geometry.

Calculated values
Calculated density ... 8.27 Mg/m³

Cell and atoms, written as CIF:
```
data_Pm2Dy7Ho3
_chemical_formula_sum 'Pm4 Dy14 Ho6'
_cell_length_a 5.6851
_cell_length_b 37.6954
_cell_length_c 3.6012
_cell_angle_alpha 90.00
_cell_angle_beta 90.00
_cell_angle_gamma 90.00
_symmetry_space_group_name_H-M 'C m m m'
_symmetry_Int_Tables_number 65
_symmetry_space_group_name_Hall '-C 2 2'
loop_
_atom_site_label
_atom_site_type_symbol
_atom_site_fract_x
_atom_site_fract_y
_atom_site_fract_z
Pm1 Pm 0.0000 0.1474 0.0000
Dy1 Dy 0.0000 0.0000 0.0000
Dy2 Dy 0.0000 0.0711 0.5000
Dy3 Dy 0.0000 0.2307 0.0000
Dy4 Dy 0.0000 0.4100 0.0000
Ho1 Ho 0.0000 0.3143 0.5000
Ho2 Ho 0.0000 0.5000 0.5000
```



Which of them is the most stable, and which is the least stable? b and a, in that order.



a:
## PmPrDyHo (PBE-GGA)

Data for crystalline PmPrDyHo at its relaxed geometry.

Calculated values
Calculated density ... 7.61 Mg/m³

Cell and atoms, written as CIF:
```
data_PmPrDyHo
_chemical_formula_sum 'Pm4 Pr4 Dy4 Ho4'
_cell_length_a 8.1181
_cell_length_b 8.1181
_cell_length_c 8.1181
_cell_angle_alpha 90.00
_cell_angle_beta 90.00
_cell_angle_gamma 90.00
_symmetry_space_group_name_H-M 'F -4 3 m'
_symmetry_Int_Tables_number 216
_symmetry_space_group_name_Hall 'F -4 2 3'
loop_
_atom_site_label
_atom_site_type_symbol
_atom_site_fract_x
_atom_site_fract_y
_atom_site_fract_z
Pm1 Pm 0.0000 0.0000 0.0000
Pr1 Pr 0.0000 0.0000 0.5000
Dy1 Dy 0.2500 0.2500 0.7500
Ho1 Ho 0.2500 0.2500 0.2500
```



b:
## PmPrDyHo (PBE-GGA)

Data for crystalline PmPrDyHo at its relaxed geometry.

Calculated values
Calculated density ... 7.66 Mg/m³

Cell and atoms, written as CIF:
```
data_PmPrDyHo
_chemical_formula_sum 'Pm2 Pr2 Dy2 Ho2'
_cell_length_a 5.1101
_cell_length_b 5.1101
_cell_length_c 10.1808
_cell_angle_alpha 90.00
_cell_angle_beta 90.00
_cell_angle_gamma 90.00
_symmetry_space_group_name_H-M 'I -4 m 2'
_symmetry_Int_Tables_number 119
_symmetry_space_group_name_Hall 'I -4 -2'
loop_
_atom_site_label
_atom_site_type_symbol
_atom_site_fract_x
_atom_site_fract_y
_atom_site_fract_z
Pm1 Pm 0.0000 0.0000 0.0000
Pr1 Pr 0.0000 0.5000 0.2500
Dy1 Dy 0.0000 0.0000 0.5000
Ho1 Ho 0.0000 0.5000 0.7500
```



Which of them is the most stable, and which is the least stable? b and a, in that order.